(A)
VASP calculation (PBE with a Hubbard U) on crystalline BaSrNdWO6 at its relaxed geometry.

The calculated density comes out at 6.83 Mg/m³. The value obtained for the volume is 15.8 Å³ per atom.

Unit cell a=6.038 b=6.058 c=8.629 alpha=89.85 beta=89.61 gamma=89.93
Space group P-1 (No. 2)
One atom of each set of equivalent atoms:
Ba1 0.004 0.024 0.252 [2 per cell]
Sr1 0.500 0.469 0.753 [2 per cell]
Nd1 0.000 0.500 0.000 [1 per cell]
Nd2 0.500 0.000 0.500 [1 per cell]
W1 0.000 0.500 0.500 [1 per cell]
W2 0.500 0.000 0.000 [1 per cell]
O1 0.078 0.496 0.732 [2 per cell]
O2 0.197 0.770 0.472 [2 per cell]
O3 0.237 0.812 0.022 [2 per cell]
O4 0.264 0.314 0.457 [2 per cell]
O5 0.312 0.278 0.046 [2 per cell]
O6 0.442 0.043 0.767 [2 per cell]



(B)
VASP calculation (PBE with a Hubbard U) on crystalline BaSrNdWO6 at its relaxed geometry.

The calculated density comes out at 6.71 Mg/m³. The value obtained for the volume is 16.1 Å³ per atom.

Unit cell a=8.627 b=8.627 c=8.627 alpha=90.00 beta=90.00 gamma=90.00
Space group F-43m (No. 216)
One atom of each set of equivalent atoms:
Ba1 0.000 0.000 0.000 [4 per cell]
Sr1 0.000 0.000 0.500 [4 per cell]
Nd1 0.250 0.250 0.750 [4 per cell]
W1 0.250 0.250 0.250 [4 per cell]
O1 0.019 0.250 0.250 [24 per cell]



(A) (110 meV/atom below the next structure)